# 1
A plane-wave DFT calculation with PBEsol was carried out for an optimized crystal structure of ZnPt2Rh.

The calculation puts the density of states at the Fermi level at 1.28 states/eV per atom. The value obtained for the formation energy from the elements is -0.225 eV per atom. As for the calculated total energy: -24.5 eV for the cell shown.

The space group is Pmmm (No. 47) and the conventional cell measures 2.733, 3.825 and 5.426 Å, with angles of 90.00, 90.00 and 90.00 degrees. The inequivalent atoms are Zn at (0.000, 0.000, 0.000), Pt at (0.500, 0.500, 0.250) and Rh at (0.000, 0.000, 0.500).

---

# 2
A plane-wave DFT calculation with PBEsol was carried out for an optimized crystal structure of SbTe2Au.

The calculation puts the density of states at the Fermi level at 0.54 states/eV per atom. As for the calculated total energy: -31.7 eV for the cell shown. The energy relative to the elements, uncorrected is -7.42 kJ/mol of atoms.

The space group is Cm (No. 8) and the conventional cell measures 7.205, 4.137 and 7.456 Å, with angles of 90.00, 108.65 and 90.00 degrees. The inequivalent atoms are Sb at (0.000, 0.000, 0.000), Te at (0.030, 0.500, 0.584), Te at (0.258, 0.500, 0.273) and Au at (0.263, 0.000, 0.786).

---

# 3
A plane-wave DFT calculation with PBEsol was carried out for an optimized crystal structure of CdHg.

The calculation puts the density of states at the Fermi level at 0.30 states/eV per atom. The value obtained for the formation energy from the elements is -0.001 eV per atom. As for the calculated total energy: -7.1 eV for the cell shown.

The space group is Imma (No. 74) and the conventional cell measures 2.882, 5.340 and 11.535 Å, with angles of 90.00, 90.00 and 90.00 degrees. The inequivalent atoms are Cd at (0.000, 0.250, 0.133) and Hg at (0.000, 0.250, 0.614).

---

# 4
A plane-wave DFT calculation with PBEsol was carried out for an optimized crystal structure of LuBi2BrO4.

As for the calculated total energy: -52.8 eV for the cell shown. The energy relative to the elements, uncorrected is -198.52 kJ/mol of atoms.

The space group is P4/mmm (No. 123) and the conventional cell measures 3.823, 3.823 and 9.052 Å, with angles of 90.00, 90.00 and 90.00 degrees. The inequivalent atoms are Lu at (0.000, 0.000, 0.000), Bi at (0.500, 0.500, 0.271), Br at (0.000, 0.000, 0.500) and O at (0.000, 0.500, 0.145).

---

# 5
A plane-wave DFT calculation with PBEsol was carried out for an optimized crystal structure of NbCd3Ir.

The calculation puts the density of states at the Fermi level at 1.53 states/eV per atom. The value obtained for the formation energy from the elements is 2.126 eV per atom. As for the calculated total energy: -13.6 eV for the cell shown.

The space group is Pm-3m (No. 221) and the conventional cell measures 5.117, 5.117 and 5.117 Å, with angles of 90.00, 90.00 and 90.00 degrees. The inequivalent atoms are Nb at (0.000, 0.000, 0.000), Cd at (0.000, 0.000, 0.500) and Ir at (0.500, 0.500, 0.500).

---

# 6
A plane-wave DFT calculation with PBEsol was carried out for an optimized crystal structure of CrH.

The calculation puts the density of states at the Fermi level at 0.83 states/eV per atom. As for the calculated total energy: -25.7 eV for the cell shown.

The space group is P6_3/mmc (No. 194) and the conventional cell measures 2.6442, 2.6442 and 4.5571 Å, with angles of 90.00, 90.00 and 120.00 degrees. The inequivalent atoms are Cr at (0.0000, 0.0000, 0.0000) and H at (0.3333, 0.6667, 0.2500).

---

Number 1: calculated density 16.4 Mg/m³. Number 2: calculated density 9.1 Mg/m³. Number 3: calculated density 11.7 Mg/m³. Number 4: calculated density 9.2 Mg/m³. Number 5: calculated density 7.7 Mg/m³. Number 6: calculated density 6.4 Mg/m³.